1.
# Al2CdAu2 PBE optimized geometry
data_Al2CdAu2
_chemical_formula_sum 'Al2 Cd1 Au2'
_cell_length_a 6.7139
_cell_length_b 6.7139
_cell_length_c 6.7139
_cell_angle_alpha 145.36
_cell_angle_beta 145.36
_cell_angle_gamma 49.80
_space_group_name_H-M_alt 'P 1'
_space_group_IT_number 1
_space_group_name_Hall 'P 1'
loop_
_atom_site_label
_atom_site_type_symbol
_atom_site_fract_x
_atom_site_fract_y
_atom_site_fract_z
Al1 Al 0.2500 0.7500 0.5000
Al2 Al 0.7500 0.2500 0.5000
Cd1 Cd 0.0000 0.0000 0.0000
Au1 Au 0.3851 0.3851 0.0000
Au2 Au 0.6149 0.6149 0.0000
# - Fermi-level density of states (states/eV per cell) = 2.186
# - total energy (eV per atom) = -3.22
# - ρ (g/cm3) = 9.56
# - SG = I4/mmm
# - ΔH_f (0 K) (eV per atom) = -0.2256
# - crystal system = tetragonal
# - V (Å³/cell) = 97

***

2.
# Al2CdAu PBE optimized geometry
data_Al2CdAu
_chemical_formula_sum 'Al2 Cd1 Au1'
_cell_length_a 4.6600
_cell_length_b 4.6600
_cell_length_c 5.8303
_cell_angle_alpha 103.61
_cell_angle_beta 103.61
_cell_angle_gamma 37.79
_space_group_name_H-M_alt 'P 1'
_space_group_IT_number 1
_space_group_name_Hall 'P 1'
loop_
_atom_site_label
_atom_site_type_symbol
_atom_site_fract_x
_atom_site_fract_y
_atom_site_fract_z
Al1 Al 0.2453 0.2453 0.2185
Al2 Al 0.7547 0.7547 0.7815
Cd1 Cd 0.0000 0.0000 0.5000
Au1 Au 0.5000 0.5000 0.0000
# - Fermi-level density of states (states/eV per cell) = 1.271
# - total energy (eV per atom) = -3.01
# - ρ (g/cm3) = 8.03
# - SG = C2/m
# - ΔH_f (0 K) (eV per atom) = -0.0925
# - crystal system = monoclinic
# - V (Å³/cell) = 75

***

3.
# AlCdAu3 PBE optimized geometry
data_AlCdAu3
_chemical_formula_sum 'Al2 Cd2 Au6'
_cell_length_a 5.6057
_cell_length_b 4.3054
_cell_length_c 8.2911
_cell_angle_alpha 90.00
_cell_angle_beta 98.21
_cell_angle_gamma 90.00
_space_group_name_H-M_alt 'P 1'
_space_group_IT_number 1
_space_group_name_Hall 'P 1'
loop_
_atom_site_label
_atom_site_type_symbol
_atom_site_fract_x
_atom_site_fract_y
_atom_site_fract_z
Al1 Al 0.0000 0.0000 0.0000
Al2 Al 0.2279 0.0000 0.6994
Cd1 Cd 0.3394 0.5000 0.1818
Cd2 Cd 0.8877 0.5000 0.5177
Au1 Au 0.1117 0.0000 0.3488
Au2 Au 0.3918 0.5000 0.5746
Au3 Au 0.4728 0.0000 0.9818
Au4 Au 0.6121 0.0000 0.3507
Au5 Au 0.7549 0.0000 0.7181
Au6 Au 0.8349 0.5000 0.1242
# - Fermi-level density of states (states/eV per cell) = 1.625
# - total energy (eV per atom) = -3.09
# - E above lowest polymorph (meV per atom) = 38
# - ρ (g/cm3) = 12.25
# - SG = Pm
# - ΔH_f (0 K) (eV per atom) = -0.1932
# - crystal system = monoclinic
# - V (Å³/cell) = 198

***

4.
# AlCd2Au5 PBE optimized geometry
data_AlCd2Au5
_chemical_formula_sum 'Al1 Cd2 Au5'
_cell_length_a 8.2759
_cell_length_b 8.2759
_cell_length_c 8.2759
_cell_angle_alpha 149.38
_cell_angle_beta 149.38
_cell_angle_gamma 43.85
_space_group_name_H-M_alt 'P 1'
_space_group_IT_number 1
_space_group_name_Hall 'P 1'
loop_
_atom_site_label
_atom_site_type_symbol
_atom_site_fract_x
_atom_site_fract_y
_atom_site_fract_z
Al1 Al 0.0000 0.0000 0.0000
Cd1 Cd 0.2522 0.2522 0.0000
Cd2 Cd 0.7478 0.7478 0.0000
Au1 Au 0.1185 0.6185 0.5000
Au2 Au 0.3815 0.8815 0.5000
Au3 Au 0.5000 0.5000 0.0000
Au4 Au 0.6185 0.1185 0.5000
Au5 Au 0.8815 0.3815 0.5000
# - Fermi-level density of states (states/eV per cell) = 2.458
# - total energy (eV per atom) = -2.92
# - ρ (g/cm3) = 14.00
# - SG = I4/mmm
# - ΔH_f (0 K) (eV per atom) = -0.1733
# - crystal system = tetragonal
# - V (Å³/cell) = 147